(1)
The following is a PBE calculation of a relaxed Ce3TmFe crystal, from Alexandria.

extended XYZ file:
```
5
Lattice="5.173 0.000 0.000 0.000 5.173 0.000 0.000 0.000 5.173" Properties=species:S:1:pos:R:3 pbc="T T T"
Tm 2.586 2.586 2.586
Fe 0.000 0.000 0.000
Ce 0.000 2.586 0.000
Ce 0.000 0.000 2.586
Ce 2.586 0.000 0.000
```

Summary:
Calculated volume = 27.7 Å³ per atom
Calculated formation energy = 10.5 kJ/mol of atoms
Theoretical density = 7.74 Mg/m³
Raw total energy = -30.19 eV for the cell shown

(2)
The following is a PBE calculation of a relaxed MgAsOs crystal, from Alexandria.

extended XYZ file:
```
3
Lattice="-1.559 -1.705 2.061 1.083 -1.309 -2.588 5.395 -1.367 2.948" Properties=species:S:1:pos:R:3 pbc="T T T"
As 5.165 -1.308 2.823
Mg 1.223 -2.054 1.551
Os 3.926 -2.384 0.997
```

Summary:
Calculated volume = 17.4 Å³ per atom
Calculated formation energy = 2.8 kJ/mol of atoms
Theoretical density = 9.19 Mg/m³
Raw total energy = -17.39 eV for the cell shown

(3)
The following is a PBE calculation of a relaxed ZrNbPb crystal, from Alexandria.

extended XYZ file:
```
6
Lattice="4.132 0.000 0.000 0.000 4.132 0.000 -2.066 -2.066 7.816" Properties=species:S:1:pos:R:3 pbc="T T T"
Zr 0.000 0.000 2.616
Zr 2.066 2.066 5.200
Nb 0.000 2.066 0.000
Nb 2.066 0.000 0.000
Pb 2.066 2.066 2.190
Pb 0.000 0.000 5.626
```

Summary:
Calculated volume = 22.2 Å³ per atom
Calculated formation energy = -9.3 kJ/mol of atoms
Theoretical density = 9.74 Mg/m³
Raw total energy = -45.23 eV for the cell shown

(4)
The following is a PBE calculation of a relaxed ErTl2GaI6 crystal, from Alexandria.

extended XYZ file:
```
10
Lattice="-3.936 1.586 -7.349 -3.154 -6.401 -4.594 -8.664 -1.015 -0.479" Properties=species:S:1:pos:R:3 pbc="T T T"
Er -2.529 -1.589 -3.889
Tl -7.336 -2.965 -6.512
Tl -8.278 -1.051 -0.693
Ga -10.514 -4.494 -10.039
I -5.060 -0.562 -5.153
I -6.087 -6.283 -6.036
I -7.911 -2.328 -9.984
I -10.596 -4.350 -6.787
I -9.657 -0.380 -5.765
I -8.534 -3.531 -3.215
```

Summary:
Formation energy from raw total energies = -0.88 eV/atom
Calculated volume = 45.1 Å³ per atom
Theoretical density = 5.18 Mg/m³
Raw total energy = -30.40 eV for the cell shown

(5)
The following is a PBE calculation of a relaxed Sm6Dy2Ag crystal, from Alexandria.

extended XYZ file:
```
9
Lattice="-1.519 -3.093 -1.044 9.070 -4.865 1.211 -5.597 2.403 7.225" Properties=species:S:1:pos:R:3 pbc="T T T"
Sm 0.767 -1.345 2.855
Sm 4.051 -5.746 4.920
Sm 1.187 -4.210 4.538
Sm 1.674 -2.851 -0.197
Sm -2.097 0.191 2.472
Sm 5.877 -5.106 0.364
Dy 4.031 -2.868 2.629
Dy -2.077 -2.686 4.763
Ag 0.000 0.000 0.000
```

Summary:
Calculated volume = 31.9 Å³ per atom
Calculated formation energy = 5.7 kJ/mol of atoms
Theoretical density = 7.72 Mg/m³
Raw total energy = -39.83 eV for the cell shown

(6)
The following is a PBE calculation of a relaxed Ni2PtBr crystal, from Alexandria.

extended XYZ file:
```
4
Lattice="3.489 -0.117 0.064 1.852 2.959 0.064 1.639 0.872 6.267" Properties=species:S:1:pos:R:3 pbc="T T T"
Br 1.745 0.929 1.599
Ni 1.646 0.876 6.134
Ni 3.484 1.854 3.331
Pt 5.235 2.786 4.796
```

Summary:
Formation energy from raw total energies = 0.34 eV/atom
Calculated volume = 16.4 Å³ per atom
Relative energy among the computed polymorphs = 128 meV per atom
Theoretical density = 9.92 Mg/m³
Raw total energy = -17.93 eV for the cell shown

(7)
The following is a PBE calculation of a relaxed Si2SbIr crystal, from Alexandria.

extended XYZ file:
```
4
Lattice="4.601 0.000 0.000 2.301 3.985 0.000 2.301 1.328 3.757" Properties=species:S:1:pos:R:3 pbc="T T T"
Ir 4.601 2.656 1.878
Sb 6.902 3.985 2.818
Si 0.000 0.000 0.000
Si 2.301 1.328 0.939
```

Summary:
Formation energy from raw total energies = 0.43 eV/atom
Calculated volume = 17.2 Å³ per atom
Theoretical density = 8.92 Mg/m³
Raw total energy = -22.12 eV for the cell shown

(8)
The following is a PBE calculation of a relaxed BaLiRe2 crystal, from Alexandria.

extended XYZ file:
```
4
Lattice="6.181 0.548 -0.130 2.573 5.647 0.130 -3.838 -3.859 2.983" Properties=species:S:1:pos:R:3 pbc="T T T"
Ba 4.145 2.933 0.000
Li 3.224 -0.203 1.427
Re 0.716 0.507 0.000
Re 1.208 2.196 1.557
```

Summary:
Calculated volume = 25.3 Å³ per atom
Calculated formation energy = 83.8 kJ/mol of atoms
Relative energy among the computed polymorphs = 358 meV per atom
Theoretical density = 8.48 Mg/m³
Raw total energy = -25.26 eV for the cell shown

(9)
The following is a PBE calculation of a relaxed As7C5 crystal, from Alexandria.

extended XYZ file:
```
12
Lattice="7.542 -0.001 0.000 -5.672 4.972 0.000 -0.935 -2.485 7.059" Properties=species:S:1:pos:R:3 pbc="T T T"
As 0.747 1.985 0.000
As -2.525 3.313 3.530
As 4.082 0.827 3.530
As 5.523 -0.475 1.723
As 2.141 0.798 5.337
As -1.084 2.012 5.337
As -4.466 3.284 1.723
C 0.060 0.159 0.000
C 5.969 0.316 0.000
C -4.280 4.172 0.000
C 0.844 2.244 5.475
C -0.091 -0.242 1.584
```

Summary:
Calculated volume = 22.1 Å³ per atom
Calculated formation energy = 132.2 kJ/mol of atoms
Theoretical density = 3.67 Mg/m³
Raw total energy = -62.23 eV for the cell shown

(10)
The following is a PBE calculation of a relaxed PrCd11Ag crystal, from Alexandria.

extended XYZ file:
```
13
Lattice="5.461 0.022 2.275 2.695 7.073 1.123 0.017 0.011 7.650" Properties=species:S:1:pos:R:3 pbc="T T T"
Pr 0.000 0.000 0.000
Cd 2.179 1.535 2.530
Cd 5.993 5.570 8.517
Cd 4.824 5.559 3.632
Cd 3.348 1.546 7.415
Cd 3.698 4.585 6.522
Cd 4.474 2.520 4.526
Cd 6.381 2.531 7.640
Cd 1.791 4.575 3.408
Cd 1.347 3.536 0.561
Cd 2.739 0.016 4.962
Cd 0.009 0.005 3.825
Ag 4.078 3.547 1.699
```

Summary:
Calculated volume = 22.7 Å³ per atom
Calculated formation energy = -12.7 kJ/mol of atoms
Theoretical density = 8.37 Mg/m³
Raw total energy = -19.41 eV for the cell shown

(11)
The following is a PBE calculation of a relaxed SrHfIn2Co crystal, from Alexandria.

extended XYZ file:
```
5
Lattice="5.620 0.000 0.000 0.000 4.618 0.000 0.000 0.000 5.620" Properties=species:S:1:pos:R:3 pbc="T T T"
Sr 2.810 2.309 2.810
Co 0.000 2.309 0.000
Hf 0.000 0.000 0.000
In 0.000 0.000 2.810
In 2.810 0.000 0.000
```

Summary:
Calculated volume = 29.2 Å³ per atom
Calculated formation energy = 35.0 kJ/mol of atoms
Theoretical density = 6.32 Mg/m³
Raw total energy = -22.41 eV for the cell shown

(12)
The following is a PBE calculation of a relaxed PuIn3Hg12 crystal, from Alexandria.

extended XYZ file:
```
16
Lattice="4.248 0.000 0.000 0.000 4.911 -0.237 0.000 -1.170 20.197" Properties=species:S:1:pos:R:3 pbc="T T T"
Pu 0.000 0.000 0.000
In 0.000 -0.012 5.038
In 0.000 -0.585 10.098
In 0.000 3.753 14.922
Hg 2.124 2.455 -0.119
Hg 2.124 2.440 4.839
Hg 2.124 1.871 9.980
Hg 2.124 1.301 15.121
Hg 2.124 0.133 2.505
Hg 2.124 -0.367 7.557
Hg 2.124 4.108 12.403
Hg 2.124 3.608 17.455
Hg 0.000 2.565 2.290
Hg 0.000 2.104 7.440
Hg 0.000 1.637 12.520
Hg 0.000 1.176 17.669
```

Summary:
Calculated volume = 26.3 Å³ per atom
Calculated formation energy = -2.8 kJ/mol of atoms
Theoretical density = 11.84 Mg/m³
Raw total energy = -26.63 eV for the cell shown